(1)
The following is a DFT calculation (PBE) of a geometry-optimized YCuBiOs structure.

```
YCuBiOs
1.0
1.4954 -3.2639 -3.2215
1.3205 -4.4027 1.4625
-2.7666 -3.8145 -1.0307
Os Bi Y Cu
1 1 1 1
Cartesian
0.0123 -2.8703 -0.6974
0.0000 0.0000 0.0000
0.0246 -5.7405 -1.3949
0.0370 -8.6108 -2.0923
```

Calculated values
Its energy above the most stable polymorph in this dataset is 0 meV/atom. The magnetization is 0.00 μB/f.u.



(2)
The following is a DFT calculation (PBE) of a geometry-optimized YCuBiOs structure.

```
YCuBiOs
1.0
0.0000 3.4284 3.4284
3.4284 0.0000 3.4284
3.4284 3.4284 0.0000
Os Y Bi Cu
1 1 1 1
Cartesian
3.4284 3.4284 3.4284
5.1426 5.1426 5.1426
0.0000 0.0000 0.0000
1.7142 1.7142 1.7142
```

Calculated values
Its energy above the most stable polymorph in this dataset is 292 meV/atom. The magnetization is 0.05 μB/f.u.



(3)
The following is a DFT calculation (PBE) of a geometry-optimized ZrCuBiOs structure.

```
ZrCuBiOs
1.0
0.0000 3.3413 3.3413
3.3413 0.0000 3.3413
3.3413 3.3413 0.0000
Bi Cu Zr Os
1 1 1 1
Cartesian
0.0000 0.0000 0.0000
5.0119 5.0119 5.0119
1.6706 1.6706 1.6706
3.3413 3.3413 3.3413
```

Calculated values
Its energy above the most stable polymorph in this dataset is 243 meV/atom. The magnetization is 0.00 μB/f.u.



(4)
The following is a DFT calculation (PBE) of a geometry-optimized ZrCuBiOs structure.

```
ZrCuBiOs
1.0
0.0000 3.3261 3.3261
3.3261 0.0000 3.3261
3.3261 3.3261 0.0000
Zr Bi Os Cu
1 1 1 1
Cartesian
3.3261 3.3261 3.3261
0.0000 0.0000 0.0000
4.9891 4.9891 4.9891
1.6630 1.6630 1.6630
```

Calculated values
Its energy above the most stable polymorph in this dataset is 0 meV/atom. The magnetization is 0.00 μB/f.u.



(5)
The following is a DFT calculation (PBE) of a geometry-optimized ZrCuBiOs structure.

```
ZrCuBiOs
1.0
2.7247 -3.4519 1.5674
-1.7438 -3.2173 2.8990
-0.6756 -4.3702 -1.4971
Cu Zr Os Bi
1 1 1 1
Cartesian
0.2289 -8.2795 2.2270
0.0000 0.0000 0.0000
0.1526 -5.5197 1.4847
0.0763 -2.7598 0.7423
```

Calculated values
Its energy above the most stable polymorph in this dataset is 192 meV/atom. The magnetization is 0.00 μB/f.u.



(6)
The following is a DFT calculation (PBE) of a geometry-optimized Cu2BiPb structure.

```
Cu2BiPb
1.0
-1.8107 -6.1741 2.6670
6.6394 -1.2006 1.7283
-1.0723 2.9917 6.1976
Cu Pb Bi
8 4 4
Cartesian
-0.4884 -2.6840 7.0701
2.8118 -3.2808 7.9292
3.7119 -0.2119 6.6035
4.2449 -1.6989 3.5228
0.0446 -4.1711 3.9895
3.3449 -4.7679 4.8485
0.9446 -1.1022 2.6638
0.4116 0.3849 5.7444
1.8782 -2.1915 5.2965
2.4144 -3.6873 2.1977
2.7836 0.8955 3.9630
-1.4415 -1.5912 4.4323
3.3197 -0.6003 0.8641
-0.9053 -3.0870 1.3335
0.0000 0.0000 0.0000
-0.5362 1.4958 3.0988
```

Calculated values
The final energy is -14.019 eV/f.u.



(7)
The following is a DFT calculation (PBE) of a geometry-optimized Cu2BiPb structure.

```
Cu2BiPb
1.0
-4.7285 -4.9091 1.4317
4.7717 -4.9369 -1.1687
1.8386 0.1874 6.7151
Bi Cu Pb
4 8 4
Cartesian
0.9409 -4.8293 3.4890
-1.4450 -2.3609 4.0734
0.0216 -4.9230 0.1315
3.3051 -2.3748 2.7732
1.4138 -7.2567 5.2427
1.3921 -2.3078 5.1105
-0.9846 -4.7753 5.8301
-1.9087 -4.8694 2.4549
0.4897 -7.3509 1.8675
3.7904 -4.7892 4.5231
2.8663 -4.8834 1.1479
0.4680 -2.4020 1.7354
2.3858 -2.4685 -0.5843
0.0000 0.0000 0.0000
-2.3642 -2.4546 0.7158
0.9193 0.0937 3.3575
```

Calculated values
The final energy is -14.019 eV/f.u.



(8)
The following is a DFT calculation (PBE) of a geometry-optimized CuBiPb structure.

```
CuBiPb
1.0
2.8582 -1.0841 4.0061
-0.0743 3.0138 4.0380
-2.1500 -1.5718 4.2779
Cu Pb Bi
1 1 1
Cartesian
0.1585 0.0895 3.0805
0.4754 0.2684 9.2415
0.0000 0.0000 0.0000
```

Calculated values
Its energy above the most stable polymorph in this dataset is 0 meV/atom.